First-principles (GGA+U) data for a relaxed TlCrClF2 crystal, as listed in Alexandria.

As for the total DFT energy (no corrections): -4.952 eV/atom. The total magnetic moment comes out at 0.800 μB per atom.

abc: 4.2305 4.2305 5.5170
angles: 90.00 90.00 90.00
Space group P4/mmm (No. 123)
One atom of each set of equivalent atoms:
Tl 0.0000 0.0000 0.0000 (multiplicity 1)
Cr 0.5000 0.5000 0.5000 (multiplicity 1)
Cl 0.5000 0.5000 0.0000 (multiplicity 1)
F 0.0000 0.5000 0.5000 (multiplicity 2)